[1]
Below is a PBEsol-optimized structure of LiW3Br, with properties calculated at the meta-GGA SCAN level.

abc: 4.5759 4.5759 4.5759
angles: 90.00 90.00 90.00
Closest atoms and distances in Å follow each position.
Positions (direct):
Br (0.0000, 0.0000, 0.0000)  6 W 2.29
W (0.0000, 0.5000, 0.0000)  2 Br 2.29
W (0.0000, 0.0000, 0.5000)  2 Br 2.29
W (0.5000, 0.0000, 0.0000)  2 Br 2.29
Li (0.5000, 0.5000, 0.5000)  12 W 3.24

Properties
Its magnetic moment is 0.00 μB/f.u.

[2]
Below is a PBEsol-optimized structure of MgScBi3, with properties calculated at the meta-GGA SCAN level.

abc: 5.5128 5.5128 5.5128
angles: 90.00 90.00 90.00
Closest atoms and distances in Å follow each position.
Positions (direct):
Sc (0.0000, 0.0000, 0.0000)  6 Bi 2.76
Mg (0.5000, 0.5000, 0.5000)  12 Bi 3.90
Bi (0.0000, 0.5000, 0.0000)  2 Sc 2.76
Bi (0.0000, 0.0000, 0.5000)  2 Sc 2.76
Bi (0.5000, 0.0000, 0.0000)  2 Sc 2.76

Properties
Its magnetic moment is 0.00 μB/f.u. For the formation energy, the calculation gives 0.2110 eV/atom.

[3]
Below is a PBEsol-optimized structure of Cd5In, with properties calculated at the meta-GGA SCAN level.

abc: 5.7679 5.7679 5.7679
angles: 60.00 60.00 60.00
Closest atoms and distances in Å follow each position.
Positions (direct):
Cd (0.2500, 0.2500, 0.2500)  12 Cd 3.38, 4 In 3.53
Cd (0.6248, 0.1257, 0.6248)  6 Cd 2.88-2.89
Cd (0.6248, 0.6248, 0.1257)  6 Cd 2.88-2.89
Cd (0.6248, 0.6248, 0.6248)  6 Cd 2.88-2.89
Cd (0.1257, 0.6248, 0.6248)  6 Cd 2.88-2.89
In (0.0000, 0.0000, 0.0000)  16 Cd 3.38-3.53

Properties
Its magnetic moment is 0.00 μB/f.u. For the formation energy, the calculation gives 0.1126 eV/atom. The energy above the most stable polymorph in this dataset is 0.077 eV per atom.

[4]
Below is a PBEsol-optimized structure of BeAs2Ru, with properties calculated at the meta-GGA SCAN level.

abc: 3.3405 4.4975 4.6058
angles: 119.23 111.26 90.00
Closest atoms and distances in Å follow each position.
Positions (direct):
Ru (0.0000, 0.5000, 0.0000)  8 As 2.65-2.76, 4 Be 2.80
As (0.7808, 0.7808, 0.5617)  2 Be 2.31
As (0.2192, 0.2192, 0.4383)  2 Be 2.31
Be (0.5000, 0.0000, 0.0000)  4 As 2.31

Properties
Its magnetic moment is 0.00 μB/f.u. For the formation energy, the calculation gives 0.1826 eV/atom.

[5]
Below is a PBEsol-optimized structure of ScAg2Cl, with properties calculated at the meta-GGA SCAN level.

abc: 4.6948 4.7004 4.6948
angles: 60.04 90.00 119.96
Closest atoms and distances in Å follow each position.
Positions (direct):
Sc (0.7500, 0.5000, 0.7500)  4 Cl 2.88, 4 Ag 2.88
Ag (0.0000, 0.0000, 0.0000)  4 Sc 2.88, 4 Ag 2.88
Ag (0.2500, 0.5000, 0.2500)  4 Cl 2.88, 4 Ag 2.88
Cl (0.5000, 0.0000, 0.5000)  4 Sc 2.88, 4 Ag 2.88

Properties
Its magnetic moment is 0.00 μB/f.u. The energy above the most stable polymorph in this dataset is 0.185 eV per atom.

[6]
Below is a PBEsol-optimized structure of Ga2SnPtPb, with properties calculated at the meta-GGA SCAN level.

abc: 4.9821 4.9821 5.6842
angles: 90.00 90.00 90.00
Closest atoms and distances in Å follow each position.
Positions (direct):
Pb (0.0000, 0.0000, 0.5000)  2 Sn 2.84
Ga (0.0000, 0.5000, 0.0000)  2 Sn 2.49
Ga (0.5000, 0.0000, 0.0000)  2 Sn 2.49
Sn (0.0000, 0.0000, 0.0000)  4 Ga 2.49
Pt (0.5000, 0.5000, 0.5000)  4 Pb 3.52, 8 Ga 3.78

Properties
Its magnetic moment is 0.00 μB/f.u. For the formation energy, the calculation gives 1.0057 eV/atom.

Number 1: E_tot -43.8542 eV per atom. Number 2: E_tot -50.7789 eV per atom. Number 3: E_tot -30.7971 eV per atom. Number 4: E_tot -19.7077 eV per atom. Number 5: E_tot -21.5113 eV per atom. Number 6: E_tot -41.9119 eV per atom.